1.
Computed, not measured: a geometry-optimized YBeIrPb structure at the GGA-PBE level of DFT.

Properties
Energy above the most stable polymorph in this dataset (eV per atom): 0.120
Size of the total moment (μB/f.u.): 0.0

Cell: 6.7796 6.7796 6.7796 Å, 90.00 90.00 90.00°
Closest atoms and distances in Å follow each position.
Space group F-43m (No. 216)
Unique sites:
Y 0.0000 0.0000 0.0000  4 Ir 2.94, 4 Pb 2.94
Be 0.0000 0.0000 0.5000  4 Pb 2.94, 4 Ir 2.94
Ir 0.2500 0.2500 0.2500  4 Be 2.94, 4 Y 2.94
Pb 0.2500 0.2500 0.7500  4 Y 2.94, 4 Be 2.94

2.
Computed, not measured: a geometry-optimized SrZnSn structure at the GGA-PBE level of DFT.

Properties
Total DFT energy (no corrections) (eV/atom): -2.85

Cell: 4.6520 4.6520 9.1432 Å, 90.00 90.00 120.00°
Closest atoms and distances in Å follow each position.
Space group P6_3/mmc (No. 194)
Unique sites:
Sr 0.0000 0.0000 0.0000  6 Sn 3.53, 6 Zn 3.53
Zn 0.3333 0.6667 0.2500  3 Sn 2.69
Sn 0.3333 0.6667 0.7500  3 Zn 2.69

3.
Computed, not measured: a geometry-optimized HfCdAu structure at the GGA-PBE level of DFT.

Properties
Total DFT energy (no corrections) (eV/atom): -4.93
Size of the total moment (μB/f.u.): 0.3

Cell: 3.4143 3.4143 10.3449 Å, 90.00 90.00 90.00°
Closest atoms and distances in Å follow each position.
Space group P4/nmm (No. 129, origin choice 2)
Unique sites:
Hf 0.2500 0.2500 0.2228  5 Au 2.83-3.13, 4 Cd 3.11
Cd 0.2500 0.2500 0.5871  4 Cd 3.01, 4 Hf 3.11
Au 0.2500 0.2500 0.9206  5 Hf 2.83-3.13, 4 Au 2.92

What did the third record say?
Computed, not measured: a geometry-optimized HfCdAu structure at the GGA-PBE level of DFT.

Properties
Total DFT energy (no corrections) (eV/atom): -4.93
Size of the total moment (μB/f.u.): 0.3

Cell: 3.4143 3.4143 10.3449 Å, 90.00 90.00 90.00°
Closest atoms and distances in Å follow each position.
Space group P4/nmm (No. 129, origin choice 2)
Unique sites:
Hf 0.2500 0.2500 0.2228  5 Au 2.83-3.13, 4 Cd 3.11
Cd 0.2500 0.2500 0.5871  4 Cd 3.01, 4 Hf 3.11
Au 0.2500 0.2500 0.9206  5 Hf 2.83-3.13, 4 Au 2.92

What did the third record say?
Computed, not measured: a geometry-optimized HfCdAu structure at the GGA-PBE level of DFT.

Properties
Total DFT energy (no corrections) (eV/atom): -4.93
Size of the total moment (μB/f.u.): 0.3

Cell: 3.4143 3.4143 10.3449 Å, 90.00 90.00 90.00°
Closest atoms and distances in Å follow each position.
Space group P4/nmm (No. 129, origin choice 2)
Unique sites:
Hf 0.2500 0.2500 0.2228  5 Au 2.83-3.13, 4 Cd 3.11
Cd 0.2500 0.2500 0.5871  4 Cd 3.01, 4 Hf 3.11
Au 0.2500 0.2500 0.9206  5 Hf 2.83-3.13, 4 Au 2.92